(1)
Entry from Alexandria via LeMat-Bulk: a relaxed Th2Zn6In crystal (PBE).

Cell and atoms, written as CIF:
```
data_Th2Zn6In
_chemical_formula_sum 'Th2 Zn6 In1'
_cell_length_a 5.9711
_cell_length_b 5.9711
_cell_length_c 5.8452
_cell_angle_alpha 90.00
_cell_angle_beta 90.00
_cell_angle_gamma 120.00
_space_group_name_H-M_alt 'P -3 m 1'
_space_group_IT_number 164
_space_group_name_Hall '-P 3 2"'
loop_
_atom_site_label
_atom_site_type_symbol
_atom_site_fract_x
_atom_site_fract_y
_atom_site_fract_z
Th1 Th 0.3333 0.6667 0.1541
Zn1 Zn 0.1844 0.3688 0.6532
In1 In 0.0000 0.0000 0.0000
```

Summary:
- energy relative to the elements (eV per atom) = -0.2600

(2)
Entry from Alexandria via LeMat-Bulk: a relaxed CSeBr3 crystal (PBE).

Cell and atoms, written as CIF:
```
data_CSeBr3
_chemical_formula_sum 'C1 Se1 Br3'
_cell_length_a 4.722
_cell_length_b 4.722
_cell_length_c 4.722
_cell_angle_alpha 90.00
_cell_angle_beta 90.00
_cell_angle_gamma 90.00
_space_group_name_H-M_alt 'P m -3 m'
_space_group_IT_number 221
_space_group_name_Hall '-P 4 2 3'
loop_
_atom_site_label
_atom_site_type_symbol
_atom_site_fract_x
_atom_site_fract_y
_atom_site_fract_z
C1 C 0.000 0.000 0.000
Se1 Se 0.500 0.500 0.500
Br1 Br 0.000 0.000 0.500
```

Summary:
- raw formation energy (meV per atom) = 1313.3

(3)
Entry from Alexandria via LeMat-Bulk: a relaxed K2UCoS6 crystal (PBE).

Cell and atoms, written as CIF:
```
data_K2UCoS6
_chemical_formula_sum 'K4 U2 Co2 S12'
_cell_length_a 9.585
_cell_length_b 9.594
_cell_length_c 6.769
_cell_angle_alpha 90.00
_cell_angle_beta 134.85
_cell_angle_gamma 90.00
_space_group_name_H-M_alt 'C 1 2/m 1'
_space_group_IT_number 12
loop_
_space_group_symop_operation_xyz
'x,y,z'
'-x,-y,-z'
'-x,y,-z'
'x,-y,z'
'x+1/2,y+1/2,z'
'-x+1/2,-y+1/2,-z'
'-x+1/2,y+1/2,-z'
'x+1/2,-y+1/2,z'
loop_
_atom_site_label
_atom_site_type_symbol
_atom_site_fract_x
_atom_site_fract_y
_atom_site_fract_z
K1 K 0.000 0.250 0.000
U1 U 0.000 0.000 0.500
Co1 Co 0.000 0.500 0.500
S1 S 0.000 0.263 0.500
S2 S 0.236 0.500 0.500
S3 S 0.237 0.500 0.973
```

Summary:
- raw formation energy (meV per atom) = -830.5

(4)
Entry from Alexandria via LeMat-Bulk: a relaxed Cd2WI crystal (PBE).

Cell and atoms, written as CIF:
```
data_Cd2WI
_chemical_formula_sum 'Cd8 W4 I4'
_cell_length_a 7.390
_cell_length_b 7.390
_cell_length_c 7.390
_cell_angle_alpha 90.00
_cell_angle_beta 90.00
_cell_angle_gamma 90.00
_space_group_name_H-M_alt 'F m -3 m'
_space_group_IT_number 225
_space_group_name_Hall '-F 4 2 3'
loop_
_atom_site_label
_atom_site_type_symbol
_atom_site_fract_x
_atom_site_fract_y
_atom_site_fract_z
Cd1 Cd 0.250 0.250 0.250
W1 W 0.000 0.000 0.000
I1 I 0.000 0.000 0.500
```

Summary:
- raw formation energy (meV per atom) = 1381.7

(5)
Entry from Alexandria via LeMat-Bulk: a relaxed Pr2GdAl crystal (PBE).

Cell and atoms, written as CIF:
```
data_Pr2GdAl
_chemical_formula_sum 'Pr2 Gd1 Al1'
_cell_length_a 4.909
_cell_length_b 4.909
_cell_length_c 4.871
_cell_angle_alpha 90.00
_cell_angle_beta 90.00
_cell_angle_gamma 90.00
_space_group_name_H-M_alt 'P 4/m m m'
_space_group_IT_number 123
_space_group_name_Hall '-P 4 2'
loop_
_atom_site_label
_atom_site_type_symbol
_atom_site_fract_x
_atom_site_fract_y
_atom_site_fract_z
Pr1 Pr 0.000 0.500 0.000
Gd1 Gd 0.000 0.000 0.500
Al1 Al 0.500 0.500 0.500
```

Summary:
- energy relative to the elements (eV per atom) = -0.1752

(6)
Entry from Alexandria via LeMat-Bulk: a relaxed Cr2IrSe crystal (PBE).

Cell and atoms, written as CIF:
```
data_Cr2IrSe
_chemical_formula_sum 'Cr2 Ir1 Se1'
_cell_length_a 4.400
_cell_length_b 4.400
_cell_length_c 2.802
_cell_angle_alpha 90.00
_cell_angle_beta 90.00
_cell_angle_gamma 90.00
_space_group_name_H-M_alt 'P 4/m m m'
_space_group_IT_number 123
_space_group_name_Hall '-P 4 2'
loop_
_atom_site_label
_atom_site_type_symbol
_atom_site_fract_x
_atom_site_fract_y
_atom_site_fract_z
Cr1 Cr 0.000 0.500 0.000
Ir1 Ir 0.000 0.000 0.500
Se1 Se 0.500 0.500 0.500
```

Summary:
- raw formation energy (meV per atom) = 231.4

(7)
Entry from Alexandria via LeMat-Bulk: a relaxed AlTlB3 crystal (PBE).

Cell and atoms, written as CIF:
```
data_AlTlB3
_chemical_formula_sum 'Al1 Tl1 B3'
_cell_length_a 4.303
_cell_length_b 4.303
_cell_length_c 4.303
_cell_angle_alpha 90.00
_cell_angle_beta 90.00
_cell_angle_gamma 90.00
_space_group_name_H-M_alt 'P m -3 m'
_space_group_IT_number 221
_space_group_name_Hall '-P 4 2 3'
loop_
_atom_site_label
_atom_site_type_symbol
_atom_site_fract_x
_atom_site_fract_y
_atom_site_fract_z
Al1 Al 0.000 0.000 0.000
Tl1 Tl 0.500 0.500 0.500
B1 B 0.000 0.000 0.500
```

Summary:
- energy relative to the elements (eV per atom) = 1.6725

| no. | size of the total moment (Bohr magnetons per cell) |
| --- | --- |
| 1 | 0.00 |
| 2 | 0.00 |
| 3 | 0.00 |
| 4 | 14.27 |
| 5 | 7.70 |
| 6 | 0.00 |
| 7 | 0.00 |